First-principles (GGA-PBE) data for a relaxed structure of Sc3HgN, as listed in Alexandria.

Computed properties:
spin magnetization	0.00	Bohr magnetons per cell
energy relative to the elements, uncorrected	-891	meV/atom
DFT total energy	-6.41	eV/atom
DOS(E_F)	0.82	states/eV per atom
space-group type	Pmma, No. 51

abc: 5.427 6.300 5.495
angles: 90.00 90.00 90.00
Element x y z (fractional)
Sc (0.250, 0.000, 0.199)
Sc (0.250, 0.238, 0.672)
Sc (0.250, 0.762, 0.672)
Sc (0.750, 0.000, 0.801)
Sc (0.750, 0.238, 0.328)
Sc (0.750, 0.762, 0.328)
Hg (0.250, 0.500, 0.189)
Hg (0.750, 0.500, 0.811)
N (0.000, 0.000, 0.500)
N (0.500, 0.000, 0.500)